HoPa2As3: relaxed, GGA-PBE.

Cell lengths 5.7906, 12.2584, 8.1865 Å; angles 90.00, 90.00, 90.00 degrees
Positions (direct):
Ho (0.2497, 0.0818, 0.1235)
Ho (0.2497, 0.4182, 0.6235)
Ho (0.7503, 0.5818, 0.3765)
Ho (0.7503, 0.9182, 0.8765)
Pa (0.2497, 0.0832, 0.6245)
Pa (0.2497, 0.4168, 0.1245)
Pa (0.2506, 0.7499, 0.1244)
Pa (0.2506, 0.7501, 0.6244)
Pa (0.7494, 0.2499, 0.3756)
Pa (0.7494, 0.2501, 0.8756)
Pa (0.7503, 0.5832, 0.8755)
Pa (0.7503, 0.9168, 0.3755)
As (0.2494, 0.2502, 0.3744)
As (0.2494, 0.2498, 0.8744)
As (0.2503, 0.5829, 0.8730)
As (0.2503, 0.5837, 0.3743)
As (0.2503, 0.9163, 0.8743)
As (0.2503, 0.9171, 0.3730)
As (0.7497, 0.0829, 0.6270)
As (0.7497, 0.0837, 0.1257)
As (0.7497, 0.4163, 0.6257)
As (0.7497, 0.4171, 0.1270)
As (0.7506, 0.7502, 0.1256)
As (0.7506, 0.7498, 0.6256)

Output
* E_tot: -7.458 eV/atom
* DFT formation energy: -1.205 eV/atom